Record 1
Compound: KCo2
Source: Alexandria via LeMat-Bulk
Functional: GGA-PBE
Structure: relaxed

Cell lengths 6.293, 6.293, 6.293 Å; angles 154.93, 145.50, 43.12 degrees
Site moments in Bohr magnetons follow the coordinates.
Element x y z (fractional)
Co 0.269 0.269 0.000  1.71
Co 0.731 0.731 0.000  1.71
K 0.000 0.000 0.000  -0.04

SG: Immm
Crystal system: orthorhombic
Calculated formation energy: 0.679 eV/atom

---

Record 2
Compound: KCo8
Source: Alexandria via LeMat-Bulk
Functional: GGA-PBE
Structure: relaxed

Cell lengths 5.923, 5.923, 5.923 Å; angles 95.85, 95.85, 142.76 degrees
Site moments in Bohr magnetons follow the coordinates.
Element x y z (fractional)
Co 0.305 0.695 0.000  1.77
Co 0.000 0.645 0.645  1.65
Co 0.695 0.695 0.390  1.77
Co 0.305 0.305 0.610  1.77
Co 0.645 0.000 0.645  1.65
Co 0.695 0.305 0.000  1.77
Co 0.355 0.000 0.355  1.65
Co 0.000 0.355 0.355  1.65
K 0.000 0.000 0.000  -0.02

SG: I4/mmm
Crystal system: tetragonal
Calculated formation energy: 0.545 eV/atom

---

Record 3
Compound: KCo2
Source: Alexandria via LeMat-Bulk
Functional: GGA-PBE
Structure: relaxed

Cell lengths 6.754, 6.754, 8.004 Å; angles 66.43, 66.43, 23.21 degrees
Site moments in Bohr magnetons follow the coordinates.
Element x y z (fractional)
Co 0.911 0.911 0.505  1.69
Co 0.089 0.089 0.495  1.69
Co 0.550 0.550 0.287  1.65
Co 0.450 0.450 0.713  1.65
K 0.169 0.169 0.827  -0.02
K 0.831 0.831 0.173  -0.02

SG: C2/m
Crystal system: monoclinic
Calculated formation energy: 0.781 eV/atom

---

Record 4
Compound: K2Co
Source: Alexandria via LeMat-Bulk
Functional: GGA-PBE
Structure: relaxed

Cell lengths 9.153, 9.153, 7.606 Å; angles 73.61, 73.61, 25.05 degrees
Site moments in Bohr magnetons follow the coordinates.
Element x y z (fractional)
Co 0.001 0.001 0.138  1.93
Co 0.999 0.999 0.862  1.93
K 0.646 0.646 0.897  -0.01
K 0.354 0.354 0.103  -0.01
K 0.607 0.607 0.428  0.00
K 0.393 0.393 0.572  0.00

SG: C2/m
Energy above the most stable polymorph in this dataset: 129 meV/atom
Crystal system: monoclinic
Calculated formation energy: 0.747 eV/atom

---

Record 5
Compound: KCo2
Source: Alexandria via LeMat-Bulk
Functional: GGA-PBE
Structure: relaxed

Cell lengths 2.814, 5.950, 8.059 Å; angles 90.00, 90.00, 90.00 degrees
Site moments in Bohr magnetons follow the coordinates.
Element x y z (fractional)
Co 0.752 0.000 0.395  1.87
Co 0.748 0.500 0.895  1.87
Co 0.248 0.000 0.605  1.87
Co 0.252 0.500 0.105  1.87
K 0.500 0.500 0.500  -0.02
K 0.000 0.000 0.000  -0.02

SG: Pnnm
Crystal system: orthorhombic
Calculated formation energy: 1.129 eV/atom

---

Record 6
Compound: K3Co4
Source: Alexandria via LeMat-Bulk
Functional: GGA-PBE
Structure: relaxed

Cell lengths 6.599, 6.599, 4.920 Å; angles 90.00, 90.00, 120.00 degrees
Site moments in Bohr magnetons follow the coordinates.
Element x y z (fractional)
Co 0.333 0.667 0.500  1.99
Co 0.667 0.333 0.500  1.99
Co 0.000 0.000 0.774  2.02
Co 0.000 0.000 0.226  2.02
K 0.500 0.000 0.000  -0.02
K 0.500 0.500 0.000  -0.02
K 0.000 0.500 0.000  -0.02

SG: P6/mmm
Crystal system: hexagonal
Calculated formation energy: 1.656 eV/atom

---

Record 7
Compound: K2Co
Source: Alexandria via LeMat-Bulk
Functional: GGA-PBE
Structure: relaxed

Cell lengths 8.306, 8.306, 8.306 Å; angles 151.34, 151.20, 41.08 degrees
Site moments in Bohr magnetons follow the coordinates.
Element x y z (fractional)
K 0.626 0.626 0.000  -0.01
K 0.374 0.374 0.000  -0.01
Co 0.000 0.000 0.000  1.95

SG: Immm
Energy above the most stable polymorph in this dataset: 329 meV/atom
Crystal system: orthorhombic
Calculated formation energy: 0.947 eV/atom

---

Record 8
Compound: KCo
Source: Alexandria via LeMat-Bulk
Functional: GGA-PBE
Structure: relaxed

Cell lengths 5.874, 5.874, 6.920 Å; angles 90.00, 90.00, 120.00 degrees
Site moments in Bohr magnetons follow the coordinates.
Element x y z (fractional)
Co 0.333 0.667 0.750  2.02
Co 0.667 0.333 0.250  2.02
K 0.667 0.333 0.750  -0.01
K 0.333 0.667 0.250  -0.01

SG: P6_3/mmc
Energy above the most stable polymorph in this dataset: 1114 meV/atom
Crystal system: hexagonal
Calculated formation energy: 1.736 eV/atom

---

Record 9
Compound: KCo
Source: Alexandria via LeMat-Bulk
Functional: GGA-PBE
Structure: relaxed

Cell lengths 4.059, 4.059, 4.059 Å; angles 90.00, 90.00, 90.00 degrees
Site moments in Bohr magnetons follow the coordinates.
Element x y z (fractional)
Co 0.000 0.000 0.000  2.00
K 0.500 0.500 0.500  -0.01

SG: Pm-3m
Energy above the most stable polymorph in this dataset: 816 meV/atom
Crystal system: cubic
Calculated formation energy: 1.438 eV/atom

---

Record 10
Compound: KCo2
Source: Alexandria via LeMat-Bulk
Functional: GGA-PBE
Structure: relaxed

Cell lengths 5.972, 5.972, 2.513 Å; angles 90.00, 90.00, 90.00 degrees
Site moments in Bohr magnetons follow the coordinates.
Element x y z (fractional)
Co 0.000 0.500 0.500  2.02
Co 0.500 0.000 0.500  2.02
K 0.000 0.000 0.000  -0.03

SG: P4/mmm
Crystal system: tetragonal
Calculated formation energy: 2.036 eV/atom

---

Record 11
Compound: KCo
Source: Alexandria via LeMat-Bulk
Functional: GGA-PBE
Structure: relaxed

Cell lengths 6.135, 15.012, 9.518 Å; angles 90.00, 90.00, 90.00 degrees
Site moments in Bohr magnetons follow the coordinates.
Element x y z (fractional)
K 0.000 0.000 0.665  -0.02
K 0.750 0.250 0.585  -0.02
K 0.250 0.750 0.585  -0.02
K 0.250 0.250 0.415  -0.02
K 0.250 0.250 0.085  -0.02
K 0.000 0.500 0.835  -0.02
K 0.750 0.250 0.915  -0.02
K 0.500 0.500 0.335  -0.02
K 0.500 0.500 0.665  -0.02
K 0.500 0.000 0.165  -0.02
K 0.000 0.000 0.335  -0.02
K 0.000 0.500 0.165  -0.02
K 0.250 0.750 0.915  -0.02
K 0.750 0.750 0.085  -0.02
K 0.500 0.000 0.835  -0.02
K 0.750 0.750 0.415  -0.02
Co 0.750 0.321 0.250  1.84
Co 0.250 0.179 0.750  1.84
Co 0.250 0.321 0.750  1.84
Co 0.000 0.929 0.000  1.84
Co 0.500 0.571 0.000  1.84
Co 0.500 0.071 0.500  1.84
Co 0.250 0.821 0.250  1.84
Co 0.750 0.679 0.750  1.84
Co 0.500 0.429 0.000  1.84
Co 0.500 0.929 0.500  1.84
Co 0.000 0.429 0.500  1.84
Co 0.750 0.821 0.750  1.84
Co 0.000 0.071 0.000  1.84
Co 0.750 0.179 0.250  1.84
Co 0.250 0.679 0.250  1.84
Co 0.000 0.571 0.500  1.84

SG: Fddd
Energy above the most stable polymorph in this dataset: 399 meV/atom
Crystal system: orthorhombic
Calculated formation energy: 1.021 eV/atom

---

Record 12
Compound: K2Co
Source: Alexandria via LeMat-Bulk
Functional: GGA-PBE
Structure: relaxed

Cell lengths 16.532, 16.532, 3.965 Å; angles 90.00, 90.00, 164.17 degrees
Site moments in Bohr magnetons follow the coordinates.
Element x y z (fractional)
Co 0.985 0.015 0.750  1.72
Co 0.015 0.985 0.250  1.72
K 0.693 0.307 0.250  0.00
K 0.562 0.438 0.750  -0.01
K 0.307 0.693 0.750  0.00
K 0.438 0.562 0.250  -0.01

SG: Cmcm
Energy above the most stable polymorph in this dataset: 0 meV/atom
Crystal system: orthorhombic
Calculated formation energy: 0.618 eV/atom

---

Record 13
Compound: KCo
Source: Alexandria via LeMat-Bulk
Functional: GGA-PBE
Structure: relaxed

Cell lengths 12.620, 12.620, 3.745 Å; angles 90.00, 90.00, 90.00 degrees
Site moments in Bohr magnetons follow the coordinates.
Element x y z (fractional)
Co 0.781 0.781 0.000  1.68
Co 0.281 0.719 0.500  1.68
Co 0.719 0.719 0.500  1.68
Co 0.719 0.281 0.500  1.68
Co 0.219 0.781 0.000  1.68
Co 0.219 0.219 0.000  1.68
Co 0.781 0.219 0.000  1.68
Co 0.281 0.281 0.500  1.68
K 0.756 0.500 0.000  -0.01
K 0.744 0.000 0.500  -0.01
K 0.244 0.500 0.000  -0.01
K 0.000 0.256 0.500  -0.01
K 0.256 0.000 0.500  -0.01
K 0.000 0.744 0.500  -0.01
K 0.500 0.756 0.000  -0.01
K 0.500 0.244 0.000  -0.01

SG: I4/mmm
Energy above the most stable polymorph in this dataset: 239 meV/atom
Crystal system: tetragonal
Calculated formation energy: 0.861 eV/atom

---

Record 14
Compound: KCo
Source: Alexandria via LeMat-Bulk
Functional: GGA-PBE
Structure: relaxed

Cell lengths 5.760, 5.760, 8.291 Å; angles 90.00, 90.00, 120.00 degrees
Site moments in Bohr magnetons follow the coordinates.
Element x y z (fractional)
Co 0.333 0.667 0.376  1.91
Co 0.667 0.333 0.876  1.91
Co 0.333 0.667 0.124  1.91
Co 0.667 0.333 0.624  1.91
K 0.000 0.000 0.250  -0.02
K 0.000 0.000 0.750  -0.02
K 0.667 0.333 0.250  -0.01
K 0.333 0.667 0.750  -0.01

SG: P6_3/mmc
Energy above the most stable polymorph in this dataset: 507 meV/atom
Crystal system: hexagonal
Calculated formation energy: 1.130 eV/atom

---

Record 15
Compound: K2Co
Source: Alexandria via LeMat-Bulk
Functional: GGA-PBE
Structure: relaxed

Cell lengths 5.822, 5.822, 5.822 Å; angles 60.00, 60.00, 60.00 degrees
Site moments in Bohr magnetons follow the coordinates.
Element x y z (fractional)
K 0.750 0.750 0.750  -0.02
K 0.250 0.250 0.250  -0.02
Co 0.000 0.000 0.000  1.88

SG: Fm-3m
Energy above the most stable polymorph in this dataset: 374 meV/atom
Crystal system: cubic
Calculated formation energy: 0.992 eV/atom

---

Record 16
Compound: KCo
Source: Alexandria via LeMat-Bulk
Functional: GGA-PBE
Structure: relaxed

Cell lengths 9.607, 9.607, 9.607 Å; angles 90.00, 90.00, 90.00 degrees
Site moments in Bohr magnetons follow the coordinates.
Element x y z (fractional)
Co 0.750 0.500 0.000  1.97
Co 0.500 0.000 0.250  1.97
Co 0.500 0.000 0.750  1.97
Co 0.000 0.250 0.500  1.97
Co 0.250 0.500 0.000  1.97
Co 0.000 0.750 0.500  1.97
K 0.500 0.750 0.000  -0.01
K 0.500 0.250 0.000  -0.01
K 0.000 0.500 0.750  -0.01
K 0.250 0.000 0.500  -0.01
K 0.750 0.000 0.500  -0.01
K 0.000 0.500 0.250  -0.01

SG: Pm-3n
Energy above the most stable polymorph in this dataset: 1081 meV/atom
Crystal system: cubic
Calculated formation energy: 1.704 eV/atom

---

Record 17
Compound: KCo
Source: Alexandria via LeMat-Bulk
Functional: GGA-PBE
Structure: relaxed

Cell lengths 6.254, 6.254, 6.254 Å; angles 90.00, 90.00, 90.00 degrees
Site moments in Bohr magnetons follow the coordinates.
Element x y z (fractional)
K 0.910 0.590 0.410  -0.01
K 0.410 0.910 0.590  -0.01
K 0.590 0.410 0.910  -0.01
K 0.090 0.090 0.090  -0.01
Co 0.396 0.396 0.396  2.06
Co 0.104 0.604 0.896  2.06
Co 0.896 0.104 0.604  2.06
Co 0.604 0.896 0.104  2.06

SG: P2_13
Energy above the most stable polymorph in this dataset: 884 meV/atom
Crystal system: cubic
Calculated formation energy: 1.506 eV/atom

---

Record 18
Compound: KCo
Source: Alexandria via LeMat-Bulk
Functional: GGA-PBE
Structure: relaxed

Cell lengths 7.689, 7.689, 7.689 Å; angles 90.00, 90.00, 90.00 degrees
Site moments in Bohr magnetons follow the coordinates.
Element x y z (fractional)
Co 0.500 0.000 0.500  2.01
Co 0.000 0.500 0.500  2.01
Co 0.500 0.500 0.000  2.01
Co 0.000 0.000 0.000  2.01
K 0.250 0.250 0.250  -0.01
K 0.750 0.250 0.750  -0.01
K 0.750 0.750 0.250  -0.01
K 0.250 0.750 0.750  -0.01

SG: F-43m
Energy above the most stable polymorph in this dataset: 1184 meV/atom
Crystal system: cubic
Calculated formation energy: 1.806 eV/atom

---

Record 19
Compound: KCo
Source: Alexandria via LeMat-Bulk
Functional: GGA-PBE
Structure: relaxed

Cell lengths 9.695, 9.695, 9.695 Å; angles 23.17, 23.17, 23.17 degrees
Site moments in Bohr magnetons follow the coordinates.
Element x y z (fractional)
K 0.536 0.536 0.536  -0.01
K 0.714 0.714 0.714  -0.01
Co 0.292 0.292 0.292  1.48
Co 0.958 0.958 0.958  1.48

SG: R-3m
Energy above the most stable polymorph in this dataset: 0 meV/atom
Crystal system: trigonal
Calculated formation energy: 0.623 eV/atom

---

Record 20
Compound: KCo2
Source: Alexandria via LeMat-Bulk
Functional: GGA-PBE
Structure: relaxed

Cell lengths 4.728, 4.728, 4.728 Å; angles 60.00, 60.00, 60.00 degrees
Site moments in Bohr magnetons follow the coordinates.
Element x y z (fractional)
Co 0.250 0.250 0.250  1.95
Co 0.750 0.750 0.750  1.95
K 0.000 0.000 0.000  -0.01

SG: Fm-3m
Crystal system: cubic
Calculated formation energy: 2.299 eV/atom

---

Record 21
Compound: KCo
Source: Alexandria via LeMat-Bulk
Functional: GGA-PBE
Structure: relaxed

Cell lengths 5.094, 5.094, 5.094 Å; angles 60.00, 60.00, 60.00 degrees
Site moments in Bohr magnetons follow the coordinates.
Element x y z (fractional)
K 0.500 0.500 0.500  -0.01
K 0.750 0.750 0.750  -0.01
Co 0.250 0.250 0.250  1.89
Co 0.000 0.000 0.000  1.89

SG: Fd-3m
Energy above the most stable polymorph in this dataset: 610 meV/atom
Crystal system: cubic
Calculated formation energy: 1.232 eV/atom

---

Record 22
Compound: KCo
Source: Alexandria via LeMat-Bulk
Functional: GGA-PBE
Structure: relaxed

Cell lengths 2.869, 2.869, 5.335 Å; angles 90.00, 90.00, 90.00 degrees
Site moments in Bohr magnetons follow the coordinates.
Element x y z (fractional)
K 0.500 0.500 0.500  -0.05
Co 0.000 0.000 0.000  1.73

SG: P4/mmm
Energy above the most stable polymorph in this dataset: 659 meV/atom
Crystal system: tetragonal
Calculated formation energy: 1.282 eV/atom

---

Record 23
Compound: K4Co
Source: Alexandria via LeMat-Bulk
Functional: GGA-PBE
Structure: relaxed

Cell lengths 7.093, 7.093, 7.093 Å; angles 109.47, 109.47, 109.47 degrees
Site moments in Bohr magnetons follow the coordinates.
Element x y z (fractional)
K 0.500 0.500 0.500  -0.01
K 0.000 0.000 0.500  -0.01
K 0.500 0.000 0.000  -0.01
K 0.000 0.500 0.000  -0.01
Co 0.000 0.000 0.000  1.86

SG: Im-3m
Energy above the most stable polymorph in this dataset: 54 meV/atom
Crystal system: cubic
Calculated formation energy: 0.643 eV/atom

---

Record 24
Compound: KCo4
Source: Alexandria via LeMat-Bulk
Functional: GGA-PBE
Structure: relaxed

Cell lengths 4.350, 4.350, 4.350 Å; angles 90.00, 90.00, 90.00 degrees
Site moments in Bohr magnetons follow the coordinates.
Element x y z (fractional)
Co 0.500 0.500 0.000  1.53
Co 0.000 0.000 0.000  2.03
Co 0.000 0.500 0.500  1.53
Co 0.500 0.000 0.500  1.53
K 0.500 0.500 0.500  -0.03

SG: Pm-3m
Crystal system: cubic
Calculated formation energy: 2.613 eV/atom

---

Record 25
Compound: KCo2
Source: Alexandria via LeMat-Bulk
Functional: GGA-PBE
Structure: relaxed

Cell lengths 3.794, 3.794, 5.503 Å; angles 90.00, 90.00, 120.00 degrees
Site moments in Bohr magnetons follow the coordinates.
Element x y z (fractional)
Co 0.333 0.667 0.484  1.58
Co 0.667 0.333 0.516  1.58
K 0.000 0.000 0.000  -0.02

SG: P-3m1
Crystal system: trigonal
Calculated formation energy: 0.847 eV/atom

---

Record 26
Compound: K2Co
Source: Alexandria via LeMat-Bulk
Functional: GGA-PBE
Structure: relaxed

Cell lengths 5.966, 5.966, 7.581 Å; angles 90.00, 90.00, 120.00 degrees
Site moments in Bohr magnetons follow the coordinates.
Element x y z (fractional)
Co 0.667 0.333 0.250  1.89
Co 0.333 0.667 0.750  1.89
K 0.000 0.000 0.500  -0.01
K 0.333 0.667 0.250  -0.01
K 0.000 0.000 0.000  -0.01
K 0.667 0.333 0.750  -0.01

SG: P6_3/mmc
Energy above the most stable polymorph in this dataset: 402 meV/atom
Crystal system: hexagonal
Calculated formation energy: 1.020 eV/atom